Entry 1:
DFT (PBE-GGA) results for crystalline ScBiN2 at its relaxed geometry.

a b c (Å): 6.814 6.814 6.814
angles (deg): 28.89 28.89 28.89
Sites, in units of the cell vectors:
Sc: 0.500 0.500 0.500
Bi: 0.000 0.000 0.000
N: 0.887 0.887 0.887
N: 0.113 0.113 0.113

- symmetry = No. 166

***

Entry 2:
DFT (PBE-GGA) results for crystalline Sc4BiN at its relaxed geometry.

a b c (Å): 5.464 6.613 7.559
angles (deg): 104.36 111.19 90.00
Sites, in units of the cell vectors:
Sc: 0.461 0.064 0.784
Sc: 0.677 0.436 0.216
Sc: 0.539 0.936 0.216
Sc: 0.323 0.564 0.784
Sc: 0.845 0.809 0.600
Sc: 0.245 0.691 0.400
Sc: 0.155 0.191 0.400
Sc: 0.755 0.309 0.600
Bi: 0.900 0.750 0.000
Bi: 0.100 0.250 0.000
N: 0.500 0.000 0.500
N: 0.000 0.500 0.500

- symmetry = No. 15

***

Entry 3:
DFT (PBE-GGA) results for crystalline ScBi3N at its relaxed geometry.

a b c (Å): 4.943 4.943 4.943
angles (deg): 90.00 90.00 90.00
Sites, in units of the cell vectors:
Sc: 0.500 0.500 0.500
Bi: 0.000 0.500 0.000
Bi: 0.000 0.000 0.500
Bi: 0.500 0.000 0.000
N: 0.000 0.000 0.000

- ΔE to the lowest computed polymorph (meV/atom) = 0
- symmetry = No. 221

***

Entry 4:
DFT (PBE-GGA) results for crystalline Sc2BiN at its relaxed geometry.

a b c (Å): 8.417 8.417 8.417
angles (deg): 23.17 23.17 23.17
Sites, in units of the cell vectors:
Sc: 0.879 0.879 0.879
Sc: 0.121 0.121 0.121
Bi: 0.000 0.000 0.000
N: 0.500 0.500 0.500

- ΔE to the lowest computed polymorph (meV/atom) = 340
- symmetry = No. 166

***

Entry 5:
DFT (PBE-GGA) results for crystalline Sc6Bi3N at its relaxed geometry.

a b c (Å): 6.704 8.855 8.855
angles (deg): 101.06 90.00 90.00
Last column: magnetic moment on the atom in μB.
Sites, in units of the cell vectors:
Sc: 0.196 0.706 0.620  0.16
Sc: 0.696 0.620 0.706  0.16
Sc: 0.160 0.408 0.896  0.11
Sc: 0.660 0.896 0.408  0.11
Sc: 0.139 0.060 0.940  0.12
Sc: 0.727 0.234 0.766  0.13
Sc: 0.227 0.766 0.234  0.13
Sc: 0.639 0.940 0.060  0.12
Sc: 0.160 0.104 0.592  0.11
Sc: 0.660 0.592 0.104  0.11
Sc: 0.196 0.380 0.294  0.16
Sc: 0.696 0.294 0.380  0.16
Bi: 0.499 0.934 0.730  0.00
Bi: 0.999 0.730 0.934  0.00
Bi: 0.384 0.393 0.607  -0.01
Bi: 0.884 0.607 0.393  -0.01
Bi: 0.999 0.066 0.270  0.00
Bi: 0.499 0.270 0.066  0.00
N: 0.025 0.199 0.801  -0.01
N: 0.525 0.801 0.199  -0.01

- symmetry = No. 36

***

Entry 6:
DFT (PBE-GGA) results for crystalline Sc2BiN at its relaxed geometry.

a b c (Å): 4.274 4.274 8.630
angles (deg): 90.02 90.02 90.00
Sites, in units of the cell vectors:
Sc: 0.750 0.750 0.806
Sc: 0.750 0.250 0.500
Sc: 0.250 0.250 0.194
Sc: 0.250 0.750 0.500
Bi: 0.250 0.250 0.827
Bi: 0.750 0.750 0.173
N: 0.250 0.250 0.433
N: 0.750 0.750 0.567

- ΔE to the lowest computed polymorph (meV/atom) = 0
- symmetry = No. 129

***

| no. | uncorrected formation energy (eV/atom) | spin magnetization (μB/cell) | final energy (eV per cell) |
| --- | --- | --- | --- |
| 1 | -0.182 | 0.00 | -27.592 |
| 2 | -0.805 | 0.00 | -84.724 |
| 3 | 0.290 | 0.00 | -24.848 |
| 4 | -0.907 | 0.00 | -28.497 |
| 5 | -0.614 | 2.87 | -128.199 |
| 6 | -1.247 | 0.00 | -59.717 |